Entry from the Alexandria database: a relaxed structure of CrGe2BiO8 (GGA+U).

total energy: -6.233 eV/atom
space-group type: P-3

Cell: 5.2243 5.2243 6.6288 Å, 90.00 90.00 120.00°
Each line ends with the local moment (μB).
Positions (direct):
Cr  0.0000  0.0000  0.5000  2.12
Ge  0.6667  0.3333  0.2577  0.01
Ge  0.3333  0.6667  0.7423  0.01
Bi  0.0000  0.0000  0.0000  -0.02
O  0.3333  0.6667  0.0107  0.37
O  0.3050  0.2571  0.3160  -0.02
O  0.7429  0.0478  0.3160  -0.02
O  0.6667  0.3333  0.9893  0.37
O  0.2571  0.9522  0.6840  -0.02
O  0.6950  0.7429  0.6840  -0.02
O  0.0478  0.3050  0.6840  -0.02
O  0.9522  0.6950  0.3160  -0.02